{"formula": "CsCr2InF8", "functional": "PBE+U", "state": "optimized geometry", "lattice_angstrom": [[-1.447, 0.495, -4.752], [2.679, -3.931, -1.477], [-6.636, -4.885, 0.889]], "species": ["Cs", "Cr", "Cr", "In", "F", "F", "F", "F", "F", "F", "F", "F"], "fractional_positions": [[0.000, 0.000, 0.500], [0.529, 0.510, 0.798], [0.471, 0.490, 0.202], [0.000, 0.000, 0.000], [0.143, 0.740, 0.176], [0.672, 0.744, 0.976], [0.798, 0.229, 0.189], [0.857, 0.260, 0.824], [0.328, 0.256, 0.024], [0.202, 0.771, 0.811], [0.570, 0.706, 0.377], [0.430, 0.294, 0.623]], "energy_ev_per_fu": -64.2, "m_tot_mub_per_atom": 0.6667}